Entry 1:
Compound: TlCoP2
Source: Alexandria
Functional: PBE
Structure: optimized geometry

Cell: 5.7545 5.7545 5.7545 Å, 152.40 120.74 66.59°
Positions (direct):
Tl (0.0000, 0.0000, 0.0000)
Co (0.5000, 0.5000, 0.0000)
P (0.3169, 0.8169, 0.5000)
P (0.6831, 0.1831, 0.5000)

- space group = Immm (71)
- excess energy over the best structure of this formula in the dataset (eV per atom) = 0.419
- ΔE_f (eV per atom) = 0.314
- Fermi-level density of states (states/eV/cell) = 2.50



Entry 2:
Compound: TlCoP2
Source: Alexandria
Functional: PBE
Structure: optimized geometry

Cell: 2.9518 2.9518 8.2444 Å, 90.00 90.00 90.00°
Positions (direct):
Tl (0.0000, 0.0000, 0.0000)
Co (0.0000, 0.0000, 0.5000)
P (0.5000, 0.5000, 0.3526)
P (0.5000, 0.5000, 0.6474)

- space group = P4/mmm (123)
- excess energy over the best structure of this formula in the dataset (eV per atom) = 0.193
- ΔE_f (eV per atom) = 0.087
- Fermi-level density of states (states/eV/cell) = 1.78



Entry 3:
Compound: TlCoP2
Source: Alexandria
Functional: PBE
Structure: optimized geometry

Cell: 3.8134 3.3617 6.0914 Å, 90.00 106.55 90.00°
Positions (direct):
Tl (0.0000, 0.0000, 0.0000)
Co (0.3448, 0.5000, 0.7283)
P (0.3834, 0.0000, 0.4890)
P (0.7769, 0.5000, 0.5191)

- space group = Pm (6)
- excess energy over the best structure of this formula in the dataset (eV per atom) = 0.191
- ΔE_f (eV per atom) = 0.085
- Fermi-level density of states (states/eV/cell) = 2.34



Entry 4:
Compound: TlCoP2
Source: Alexandria
Functional: PBE
Structure: optimized geometry

Cell: 3.0400 3.0400 7.7071 Å, 90.00 90.00 90.00°
Positions (direct):
Tl (0.0000, 0.0000, 0.0000)
Co (0.5000, 0.5000, 0.3198)
P (0.0000, 0.0000, 0.4209)
P (0.5000, 0.5000, 0.6105)

- space group = P4mm (99)
- excess energy over the best structure of this formula in the dataset (eV per atom) = 0.314
- ΔE_f (eV per atom) = 0.208
- Fermi-level density of states (states/eV/cell) = 2.11



Entry 5:
Compound: TlCoP3
Source: Alexandria
Functional: PBE
Structure: optimized geometry

Cell: 4.5037 4.5037 4.5037 Å, 90.00 90.00 90.00°
Positions (direct):
Tl (0.0000, 0.0000, 0.0000)
Co (0.5000, 0.5000, 0.5000)
P (0.0000, 0.5000, 0.5000)
P (0.5000, 0.0000, 0.5000)
P (0.5000, 0.5000, 0.0000)

- space group = Pm-3m (221)
- excess energy over the best structure of this formula in the dataset (eV per atom) = 0.000
- ΔE_f (eV per atom) = 0.520
- Fermi-level density of states (states/eV/cell) = 5.05



Entry 6:
Compound: Tl2Co2P
Source: Alexandria
Functional: PBE
Structure: optimized geometry

Cell: 5.7954 5.7954 5.5292 Å, 90.00 90.00 90.00°
Positions (direct):
Tl (0.1868, 0.3132, 0.0000)
Tl (0.3132, 0.8132, 0.0000)
Tl (0.6868, 0.1868, 0.0000)
Tl (0.8132, 0.6868, 0.0000)
Co (0.1566, 0.6566, 0.5000)
Co (0.3434, 0.1566, 0.5000)
Co (0.6566, 0.8434, 0.5000)
Co (0.8434, 0.3434, 0.5000)
P (0.0000, 0.0000, 0.5000)
P (0.5000, 0.5000, 0.5000)

- space group = P4/mbm (127)
- excess energy over the best structure of this formula in the dataset (eV per atom) = 0.000
- ΔE_f (eV per atom) = 0.323
- Fermi-level density of states (states/eV/cell) = 8.78



Entry 7:
Compound: TlCoP2
Source: Alexandria
Functional: PBE
Structure: optimized geometry

Cell: 3.6993 3.6993 4.8515 Å, 90.00 90.00 90.00°
Positions (direct):
Tl (0.0000, 0.0000, 0.0000)
Co (0.5000, 0.5000, 0.0000)
P (0.0000, 0.5000, 0.5000)
P (0.5000, 0.0000, 0.5000)

- space group = P4/mmm (123)
- excess energy over the best structure of this formula in the dataset (eV per atom) = 0.824
- ΔE_f (eV per atom) = 0.718
- Fermi-level density of states (states/eV/cell) = 1.27



Entry 8:
Compound: TlCoP
Source: Alexandria
Functional: PBE
Structure: optimized geometry

Cell: 4.2131 4.2131 4.2131 Å, 60.00 60.00 60.00°
Positions (direct):
Tl (0.0000, 0.0000, 0.0000)
Co (0.2500, 0.2500, 0.2500)
P (0.5000, 0.5000, 0.5000)

- space group = F-43m (216)
- excess energy over the best structure of this formula in the dataset (eV per atom) = 0.646
- ΔE_f (eV per atom) = 0.375
- Fermi-level density of states (states/eV/cell) = 3.38